# Nd8HgSe6

Nd8HgSe6 after structural relaxation (GGA-PBE, Alexandria).

Unit cell a=10.9258 b=10.9258 c=4.2390 alpha=90.00 beta=90.00 gamma=120.00
Closest atoms and distances in Å follow each position.
Element x y z (fractional)
Nd: 0.0355 0.7088 0.2507  4 Se 2.90-3.12
Nd: 0.2912 0.3266 0.2507  4 Se 2.90-3.12
Nd: 0.3266 0.0355 0.7493  4 Se 2.90-3.12
Nd: 0.3333 0.6667 0.7499  6 Se 2.99
Nd: 0.6667 0.3333 0.2501  6 Se 2.99
Nd: 0.6734 0.9645 0.2507  4 Se 2.90-3.12
Nd: 0.7088 0.6734 0.7493  4 Se 2.90-3.12
Nd: 0.9645 0.2912 0.7493  4 Se 2.90-3.12
Hg: 0.0000 0.0000 0.5000  6 Nd 3.55
Se: 0.1320 0.4838 0.2505  6 Nd 2.90-3.12
Se: 0.3518 0.8680 0.2505  6 Nd 2.90-3.12
Se: 0.4838 0.3518 0.7495  6 Nd 2.90-3.12
Se: 0.5162 0.6482 0.2505  6 Nd 2.90-3.12
Se: 0.6482 0.1320 0.7495  6 Nd 2.90-3.12
Se: 0.8680 0.5162 0.7495  6 Nd 2.90-3.12

crystal system: trigonal
formation energy (no corrections): -1.352 eV per atom
symmetry: P-3


# Nd2HgSe

Nd2HgSe after structural relaxation (GGA-PBE, Alexandria).

Unit cell a=8.3951 b=8.3951 c=8.3951 alpha=28.19 beta=28.19 gamma=28.19
Closest atoms and distances in Å follow each position.
Element x y z (fractional)
Nd: 0.0000 0.0000 0.0000  3 Se 2.94, 3 Hg 3.25
Nd: 0.1850 0.1850 0.1850  3 Se 2.99, 3 Hg 3.25
Hg: 0.4258 0.4258 0.4258  6 Nd 3.25
Se: 0.5942 0.5942 0.5942  6 Nd 2.94-2.99

energy above the most stable polymorph in this dataset: 67 meV per atom
crystal system: trigonal
formation energy (no corrections): -1.062 eV per atom
symmetry: R3m


# NdHgSe2

NdHgSe2 after structural relaxation (GGA-PBE, Alexandria).

Unit cell a=4.3506 b=4.3506 c=25.9703 alpha=90.00 beta=90.00 gamma=120.00
Closest atoms and distances in Å follow each position.
Element x y z (fractional)
Nd: 0.0000 0.6708 0.3333  6 Se 2.97
Nd: 0.3292 0.3292 0.0000  6 Se 2.97
Nd: 0.6708 0.0000 0.6667  6 Se 2.97
Hg: 0.0000 0.6641 0.8333  2 Se 2.74
Hg: 0.3359 0.3359 0.5000  2 Se 2.74
Hg: 0.6641 0.0000 0.1667  2 Se 2.74
Se: 0.0042 0.6669 0.7277  1 Hg 2.74, 3 Nd 2.97
Se: 0.3331 0.3373 0.3944  1 Hg 2.74, 3 Nd 2.97
Se: 0.3373 0.3331 0.6056  1 Hg 2.74, 3 Nd 2.97
Se: 0.6627 0.9958 0.0611  1 Hg 2.74, 3 Nd 2.97
Se: 0.6669 0.0042 0.2723  1 Hg 2.74, 3 Nd 2.97
Se: 0.9958 0.6627 0.9389  1 Hg 2.74, 3 Nd 2.97

energy above the most stable polymorph in this dataset: 0 meV per atom
crystal system: trigonal
formation energy (no corrections): -1.036 eV per atom
symmetry: P3_221


# Nd3HgSe6

Nd3HgSe6 after structural relaxation (GGA-PBE, Alexandria).

Unit cell a=9.0426 b=9.0426 c=7.1969 alpha=90.00 beta=90.00 gamma=100.80
Closest atoms and distances in Å follow each position.
Element x y z (fractional)
Nd: 0.0990 0.9010 0.5000  7 Se 2.99-3.07
Nd: 0.2223 0.4149 0.6026  7 Se 2.95-3.12
Nd: 0.4149 0.2223 0.1026  7 Se 2.95-3.12
Nd: 0.5851 0.7777 0.6026  7 Se 2.95-3.12
Nd: 0.7777 0.5851 0.1026  7 Se 2.95-3.12
Nd: 0.9010 0.0990 0.0000  7 Se 2.99-3.07
Hg: 0.2921 0.7079 0.1240  4 Se 2.62-2.78
Hg: 0.7079 0.2921 0.6240  4 Se 2.62-2.78
Se: 0.0497 0.5891 0.3347  1 Hg 2.72, 2 Nd 2.97-3.02
Se: 0.1256 0.1979 0.3007  4 Nd 2.95-3.01
Se: 0.1979 0.1256 0.8007  4 Nd 2.95-3.01
Se: 0.2734 0.7266 0.7620  1 Hg 2.62
Se: 0.4109 0.9503 0.3347  1 Hg 2.72, 2 Nd 2.97-3.02
Se: 0.4683 0.5317 0.3054  1 Hg 2.78, 2 Nd 3.11
Se: 0.5317 0.4683 0.8054  1 Hg 2.78, 2 Nd 3.11
Se: 0.5891 0.0497 0.8347  1 Hg 2.72, 2 Nd 2.97-3.02
Se: 0.7266 0.2734 0.2620  1 Hg 2.62
Se: 0.8021 0.8744 0.3007  4 Nd 2.95-3.01
Se: 0.8744 0.8021 0.8007  4 Nd 2.95-3.01
Se: 0.9503 0.4109 0.8347  1 Hg 2.72, 2 Nd 2.97-3.02

crystal system: orthorhombic
formation energy (no corrections): -1.381 eV per atom
symmetry: Cmc2_1


# NdHgSe2

NdHgSe2 after structural relaxation (GGA-PBE, Alexandria).

Unit cell a=9.0842 b=9.0842 c=9.0842 alpha=26.10 beta=26.10 gamma=26.10
Closest atoms and distances in Å follow each position.
Element x y z (fractional)
Nd: 0.0000 0.0000 0.0000  2 Se 2.81
Hg: 0.5000 0.5000 0.5000  6 Se 2.84
Se: 0.1069 0.1069 0.1069  1 Nd 2.81, 3 Hg 2.84
Se: 0.8931 0.8931 0.8931  1 Nd 2.81, 3 Hg 2.84

energy above the most stable polymorph in this dataset: 826 meV per atom
crystal system: trigonal
formation energy (no corrections): -0.210 eV per atom
symmetry: R-3m


# Nd7HgSe5

Nd7HgSe5 after structural relaxation (GGA-PBE, Alexandria).

Unit cell a=7.2721 b=7.2721 c=25.3704 alpha=90.03 beta=90.03 gamma=33.57
Closest atoms and distances in Å follow each position.
Element x y z (fractional)
Nd: 0.0274 0.0274 0.2501  2 Se 2.93, 2 Hg 3.18
Nd: 0.1374 0.1374 0.5367  6 Se 2.95-2.99
Nd: 0.1372 0.1372 0.9633  6 Se 2.95-2.99
Nd: 0.3135 0.3135 0.3237  3 Se 2.94-2.96, 2 Hg 3.24
Nd: 0.3139 0.3139 0.1762  3 Se 2.94-2.96, 2 Hg 3.24
Nd: 0.4124 0.4124 0.8914  5 Se 2.96-3.01
Nd: 0.4127 0.4127 0.6085  5 Se 2.96-3.01
Nd: 0.5873 0.5873 0.3915  5 Se 2.96-3.01
Nd: 0.5876 0.5876 0.1086  5 Se 2.96-3.01
Nd: 0.6861 0.6861 0.8238  3 Se 2.94-2.96, 2 Hg 3.24
Nd: 0.6865 0.6865 0.6763  3 Se 2.94-2.96, 2 Hg 3.24
Nd: 0.8628 0.8628 0.0367  6 Se 2.95-2.99
Nd: 0.8626 0.8626 0.4633  6 Se 2.95-2.99
Nd: 0.9726 0.9726 0.7499  2 Se 2.93, 2 Hg 3.18
Hg: 0.3011 0.3011 0.7502  6 Nd 3.18-3.24
Hg: 0.6989 0.6989 0.2498  6 Nd 3.18-3.24
Se: 0.0493 0.0493 0.8577  6 Nd 2.93-2.96
Se: 0.0497 0.0497 0.6423  6 Nd 2.93-2.96
Se: 0.2244 0.2244 0.4290  6 Nd 2.94-2.99
Se: 0.2246 0.2246 0.0710  6 Nd 2.94-2.99
Se: 0.5000 0.5000 0.0000  6 Nd 2.99-3.01
Se: 0.5000 0.5000 0.5000  6 Nd 2.99-3.01
Se: 0.7754 0.7754 0.9290  6 Nd 2.94-2.99
Se: 0.7756 0.7756 0.5710  6 Nd 2.94-2.99
Se: 0.9503 0.9503 0.3577  6 Nd 2.93-2.96
Se: 0.9507 0.9507 0.1423  6 Nd 2.93-2.96

crystal system: monoclinic
formation energy (no corrections): -1.487 eV per atom
symmetry: C2/m


# Nd4HgSe5

Nd4HgSe5 after structural relaxation (GGA-PBE, Alexandria).

Unit cell a=10.0648 b=10.0648 c=9.3395 alpha=108.54 beta=108.54 gamma=24.22
Closest atoms and distances in Å follow each position.
Element x y z (fractional)
Nd: 0.0140 0.0140 0.2294  4 Se 2.88-2.96
Nd: 0.3249 0.3249 0.4191  5 Se 2.90-2.98
Nd: 0.6751 0.6751 0.5809  5 Se 2.90-2.98
Nd: 0.9860 0.9860 0.7706  4 Se 2.88-2.96
Hg: 0.5000 0.5000 0.5000  6 Nd 3.28-3.37, 4 Se 3.48
Se: 0.1270 0.1270 0.7411  3 Nd 2.88-2.92
Se: 0.1704 0.1704 0.3524  4 Nd 2.90-2.98
Se: 0.5000 0.5000 0.0000  4 Nd 2.96
Se: 0.8296 0.8296 0.6476  4 Nd 2.90-2.98
Se: 0.8730 0.8730 0.2589  3 Nd 2.88-2.92

crystal system: monoclinic
formation energy (no corrections): -1.472 eV per atom
symmetry: C2/m


# Nd6HgTe3Se2

Nd6HgTe3Se2 after structural relaxation (GGA-PBE, Alexandria).

Unit cell a=7.5741 b=7.5741 c=7.7088 alpha=99.40 beta=99.40 gamma=119.83
Closest atoms and distances in Å follow each position.
Element x y z (fractional)
Nd: 0.0827 0.4228 0.7666  2 Se 3.02-3.03, 1 Hg 3.09, 3 Te 3.17-3.21
Nd: 0.2367 0.2367 0.2291  2 Se 3.01, 1 Hg 3.07, 3 Te 3.17-3.21
Nd: 0.4228 0.0827 0.7666  2 Se 3.02-3.03, 1 Hg 3.09, 3 Te 3.17-3.21
Nd: 0.5772 0.9173 0.2334  2 Se 3.02-3.03, 1 Hg 3.09, 3 Te 3.17-3.21
Nd: 0.7633 0.7633 0.7709  2 Se 3.01, 1 Hg 3.07, 3 Te 3.17-3.21
Nd: 0.9173 0.5772 0.2334  2 Se 3.02-3.03, 1 Hg 3.09, 3 Te 3.17-3.21
Hg: 0.5000 0.5000 0.0000  6 Nd 3.07-3.09
Te: 0.0000 0.0000 0.5000  6 Nd 3.17-3.21
Te: 0.3358 0.6642 0.5000  6 Nd 3.17-3.21
Te: 0.6642 0.3358 0.5000  6 Nd 3.17-3.21
Se: 0.1667 0.8333 0.0000  6 Nd 3.01-3.03
Se: 0.8333 0.1667 0.0000  6 Nd 3.01-3.03

crystal system: monoclinic
formation energy (no corrections): -1.420 eV per atom
symmetry: C2/m


# Nd4HgTe2Se

Nd4HgTe2Se after structural relaxation (GGA-PBE, Alexandria).

Unit cell a=7.7018 b=4.3347 c=7.7438 alpha=90.00 beta=108.50 gamma=90.00
Closest atoms and distances in Å follow each position.
Element x y z (fractional)
Nd: 0.2393 0.0000 0.2318  2 Se 3.04, 1 Hg 3.09, 3 Te 3.18-3.22
Nd: 0.2512 0.5000 0.7603  1 Se 3.08, 2 Hg 3.09, 3 Te 3.17-3.19
Nd: 0.7488 0.5000 0.2397  1 Se 3.08, 2 Hg 3.09, 3 Te 3.17-3.19
Nd: 0.7607 0.0000 0.7682  2 Se 3.04, 1 Hg 3.09, 3 Te 3.18-3.22
Hg: 0.5000 0.0000 0.0000  6 Nd 3.09
Te: 0.0000 0.0000 0.5000  6 Nd 3.17-3.18
Te: 0.5000 0.5000 0.5000  6 Nd 3.19-3.22
Se: 0.0000 0.5000 0.0000  6 Nd 3.04-3.08

crystal system: monoclinic
formation energy (no corrections): -1.294 eV per atom
symmetry: P2/m


# Nd6Hg2TeSe3

Nd6Hg2TeSe3 after structural relaxation (GGA-PBE, Alexandria).

Unit cell a=9.9195 b=9.9195 c=8.9629 alpha=107.63 beta=107.63 gamma=24.62
Closest atoms and distances in Å follow each position.
Element x y z (fractional)
Nd: 0.0010 0.0010 0.2656  3 Se 2.99-3.02, 2 Te 3.18, 1 Hg 3.24
Nd: 0.3282 0.3282 0.9111  3 Se 2.99-3.08, 1 Te 3.17, 2 Hg 3.21
Nd: 0.3414 0.3414 0.3895  3 Se 2.92-2.98, 3 Hg 3.12-3.18
Nd: 0.6586 0.6586 0.6105  3 Se 2.92-2.98, 3 Hg 3.12-3.18
Nd: 0.6718 0.6718 0.0889  3 Se 2.99-3.08, 1 Te 3.17, 2 Hg 3.21
Nd: 0.9990 0.9990 0.7344  3 Se 2.99-3.02, 2 Te 3.18, 1 Hg 3.24
Hg: 0.1766 0.1766 0.3609  6 Nd 3.12-3.24
Hg: 0.8234 0.8234 0.6391  6 Nd 3.12-3.24
Te: 0.5000 0.5000 0.0000  6 Nd 3.17-3.18
Se: 0.1627 0.1627 0.8471  6 Nd 2.98-3.08
Se: 0.5000 0.5000 0.5000  6 Nd 2.92-2.99
Se: 0.8373 0.8373 0.1529  6 Nd 2.98-3.08

crystal system: monoclinic
formation energy (no corrections): -1.303 eV per atom
symmetry: C2/m